(1)
Pm3Ni after structural relaxation, computed with GGA-PBE.

abc: 7.4466 7.4466 7.4466
angles: 90.00 90.00 90.00
Space group Fm-3m (No. 225)
One atom of each set of equivalent atoms:
1 Pm 0.0000 0.0000 0.0000 x4
2 Pm 0.2500 0.2500 0.2500 x8
3 Ni 0.0000 0.0000 0.5000 x4

Offset from the most stable computed form, meV/atom: 140.7
Energy, eV for the cell shown: -75.3


(2)
PmNi after structural relaxation, computed with GGA-PBE.

abc: 3.5121 3.5121 3.9258
angles: 90.00 90.00 120.00
Space group P-6m2 (No. 187)
One atom of each set of equivalent atoms:
1 Pm 0.0000 0.0000 0.0000 x1
2 Ni 0.3333 0.6667 0.5000 x1

Energy, eV for the cell shown: -10.3


(3)
Pm3Ni after structural relaxation, computed with GGA-PBE.

abc: 4.4990 4.4990 10.4876
angles: 90.00 90.00 90.00
Space group I4/mmm (No. 139)
One atom of each set of equivalent atoms:
1 Pm 0.0000 0.0000 0.0000 x2
2 Pm 0.0000 0.5000 0.2500 x4
3 Ni 0.0000 0.0000 0.5000 x2

Offset from the most stable computed form, meV/atom: 79.4
Energy, eV for the cell shown: -38.2


(4)
PmNi after structural relaxation, computed with GGA-PBE.

abc: 6.1504 6.1504 6.1504
angles: 90.00 90.00 90.00
Space group F-43m (No. 216)
One atom of each set of equivalent atoms:
1 Pm 0.0000 0.0000 0.0000 x4
2 Ni 0.2500 0.2500 0.7500 x4

Energy, eV for the cell shown: -37.7